1.
DFT (PBE) results for a geometry-optimized Li4ErAsO6 structure.

```
Li4ErAsO6
1.0
-1.0241 4.9508 -1.7145
4.9588 -1.5076 1.2794
-0.4738 -2.4863 -4.4163
Li O As Er
4 6 1 1
direct
0.3135 0.6865 0.5000
0.0333 0.9667 0.5000
0.6470 0.3530 0.5000
0.5021 0.4979 0.0000
0.3892 0.0593 0.7771
0.5221 0.9012 0.2324
0.9407 0.6108 0.2229
0.2433 0.1944 0.2312
0.8056 0.7567 0.7688
0.0988 0.4780 0.7676
0.1674 0.8326 0.0000
0.8372 0.1628 0.0000
```

crystal system	monoclinic

---

2.
DFT (PBE) results for a geometry-optimized CsTe5Mo3 structure.

```
CsTe5Mo3
1.0
-3.4913 4.1528 2.8079
-2.5950 -4.5288 -3.1741
-0.1229 -4.8525 7.0241
Cs Te Mo
1 5 3
direct
0.0000 0.0000 0.0000
0.6667 0.3333 0.2523
0.3333 0.6667 0.7477
0.3333 0.6667 0.2523
0.6667 0.3333 0.7477
0.0000 0.0000 0.5000
0.5000 0.5000 0.5000
0.0000 0.5000 0.5000
0.5000 0.0000 0.5000
```

crystal system	hexagonal

---

3.
DFT (PBE) results for a geometry-optimized SrHgSeO structure.

```
SrHgSeO
1.0
-4.8424 0.9887 0.8582
-0.7772 -4.8171 1.1641
1.6857 1.5853 7.6854
Sr Hg O Se
2 2 2 2
direct
0.7500 0.7500 0.1869
0.2500 0.2500 0.8131
0.7500 0.7500 0.6520
0.2500 0.2500 0.3480
0.7500 0.7500 0.9153
0.2500 0.2500 0.0847
0.2500 0.7500 0.5000
0.7500 0.2500 0.5000
```

crystal system	tetragonal
energy relative to the lowest polymorph listed for this composition	1.73	eV per formula unit

---

4.
DFT (PBE) results for a geometry-optimized DyAsPt structure.

```
DyAsPt
1.0
4.2958 0.0000 0.0000
-2.1479 3.7203 0.0000
0.0000 0.0000 15.2130
Dy As Pt
4 4 4
direct
0.0000 0.0000 0.2500
0.0000 0.0000 0.0000
0.0000 0.0000 0.5000
0.0000 0.0000 0.7500
0.6667 0.3333 0.3846
0.3333 0.6667 0.6154
0.6667 0.3333 0.1154
0.3333 0.6667 0.8846
0.6667 0.3333 0.6365
0.3333 0.6667 0.1365
0.6667 0.3333 0.8635
0.3333 0.6667 0.3635
```

crystal system	hexagonal

---

E_tot list, top to bottom, in eV per atom: -6.03 -5.60 -3.58 -6.33